Density functional theory data (meta-GGA SCAN) for CuSe2 at its PBEsol-relaxed geometry.

a = 3.5485 Å, b = 6.6059 Å, c = 9.4306 Å
α = 90.00°, β = 90.00°, γ = 90.00°
Positions (direct):
Cu1 0.0000 0.0000 0.0000
Cu2 0.0000 0.5000 0.5000
Cu3 0.5000 0.0000 0.5000
Cu4 0.5000 0.5000 0.0000
Se1 0.0000 0.1959 0.3640
Se2 0.0000 0.3041 0.8640
Se3 0.0000 0.6959 0.1360
Se4 0.0000 0.8041 0.6360
Se5 0.5000 0.1959 0.1360
Se6 0.5000 0.3041 0.6360
Se7 0.5000 0.6959 0.3640
Se8 0.5000 0.8041 0.8640

Results
Calculated density, Mg/m³: 6.654
Formation energy (no corrections), kJ/mol of formula units: 2



Density functional theory data (meta-GGA SCAN) for CuSe2 at its PBEsol-relaxed geometry.

a = 6.0365 Å, b = 6.0365 Å, c = 6.0365 Å
α = 90.00°, β = 90.00°, γ = 90.00°
Positions (direct):
Cu1 0.0000 0.0000 0.0000
Cu2 0.0000 0.5000 0.5000
Cu3 0.5000 0.0000 0.5000
Cu4 0.5000 0.5000 0.0000
Se1 0.1133 0.6133 0.8867
Se2 0.1133 0.8867 0.3867
Se3 0.3867 0.1133 0.8867
Se4 0.3867 0.3867 0.3867
Se5 0.6133 0.6133 0.6133
Se6 0.6133 0.8867 0.1133
Se7 0.8867 0.1133 0.6133
Se8 0.8867 0.3867 0.1133

Results
Calculated density, Mg/m³: 6.687
Formation energy (no corrections), kJ/mol of formula units: -29



Density functional theory data (meta-GGA SCAN) for CuSe at its PBEsol-relaxed geometry.

a = 3.7173 Å, b = 3.7173 Å, c = 6.3977 Å
α = 90.00°, β = 90.00°, γ = 120.00°
Positions (direct):
Cu1 0.3333 0.6667 0.1107
Cu2 0.6667 0.3333 0.8893
Se1 0.3333 0.6667 0.7292
Se2 0.6667 0.3333 0.2708

Results
Calculated density, Mg/m³: 6.181
Formation energy (no corrections), kJ/mol of formula units: -21



Density functional theory data (meta-GGA SCAN) for CuSe3 at its PBEsol-relaxed geometry.

a = 3.5550 Å, b = 10.3051 Å, c = 4.3060 Å
α = 90.00°, β = 90.00°, γ = 90.00°
Positions (direct):
Cu1 0.0000 0.0000 0.0000
Cu2 0.5000 0.5000 0.5000
Se1 0.0000 0.3351 0.3521
Se2 0.0000 0.5000 0.8998
Se3 0.0000 0.6649 0.3521
Se4 0.5000 0.0000 0.3998
Se5 0.5000 0.1649 0.8521
Se6 0.5000 0.8351 0.8521

Results
Calculated density, Mg/m³: 6.325
Formation energy (no corrections), kJ/mol of formula units: 72



Density functional theory data (meta-GGA SCAN) for CuSe at its PBEsol-relaxed geometry.

a = 3.7199 Å, b = 3.7199 Å, c = 6.5349 Å
α = 90.00°, β = 90.00°, γ = 120.00°
Positions (direct):
Cu1 0.3333 0.6667 0.0000
Cu2 0.6667 0.3333 0.5000
Se1 0.3333 0.6667 0.6436
Se2 0.6667 0.3333 0.1436

Results
Calculated density, Mg/m³: 6.044
Formation energy (no corrections), kJ/mol of formula units: -26



Density functional theory data (meta-GGA SCAN) for Cu8Se at its PBEsol-relaxed geometry.

a = 5.7900 Å, b = 5.7900 Å, c = 5.7900 Å
α = 95.44°, β = 95.44°, γ = 144.13°
Positions (direct):
Cu1 0.0000 0.3388 0.3388
Cu2 0.0000 0.6612 0.6612
Cu3 0.3277 0.3277 0.6554
Cu4 0.3277 0.6723 0.0000
Cu5 0.3388 0.0000 0.3388
Cu6 0.6612 0.0000 0.6612
Cu7 0.6723 0.3277 0.0000
Cu8 0.6723 0.6723 0.3446
Se1 0.0000 0.0000 0.0000

Results
Calculated density, Mg/m³: 9.013
Formation energy (no corrections), kJ/mol of formula units: 50



Density functional theory data (meta-GGA SCAN) for CuSe3 at its PBEsol-relaxed geometry.

a = 7.6312 Å, b = 13.3194 Å, c = 3.7889 Å
α = 90.00°, β = 90.00°, γ = 90.00°
Positions (direct):
Cu1 0.0000 0.1439 0.2500
Cu2 0.0000 0.8561 0.7500
Cu3 0.5000 0.3561 0.7500
Cu4 0.5000 0.6439 0.2500
Se1 0.0000 0.4303 0.2500
Se2 0.0000 0.5697 0.7500
Se3 0.2118 0.3190 0.7500
Se4 0.2118 0.6810 0.2500
Se5 0.2882 0.1810 0.2500
Se6 0.2882 0.8190 0.7500
Se7 0.5000 0.0697 0.7500
Se8 0.5000 0.9303 0.2500
Se9 0.7118 0.1810 0.2500
Se10 0.7118 0.8190 0.7500
Se11 0.7882 0.3190 0.7500
Se12 0.7882 0.6810 0.2500

Results
Calculated density, Mg/m³: 5.182
Formation energy (no corrections), kJ/mol of formula units: 125



Density functional theory data (meta-GGA SCAN) for CuSe3 at its PBEsol-relaxed geometry.

a = 4.7523 Å, b = 4.7523 Å, c = 3.1181 Å
α = 90.00°, β = 90.00°, γ = 90.00°
Positions (direct):
Cu1 0.0000 0.0000 0.0000
Se1 0.0000 0.5000 0.5000
Se2 0.5000 0.0000 0.5000
Se3 0.5000 0.5000 0.0000

Results
Calculated density, Mg/m³: 7.084
Formation energy (no corrections), kJ/mol of formula units: 235



Density functional theory data (meta-GGA SCAN) for CuSe3 at its PBEsol-relaxed geometry.

a = 6.5388 Å, b = 6.5388 Å, c = 6.5388 Å
α = 90.00°, β = 90.00°, γ = 90.00°
Positions (direct):
Cu1 0.0000 0.0000 0.0000
Cu2 0.0000 0.5000 0.5000
Cu3 0.5000 0.0000 0.5000
Cu4 0.5000 0.5000 0.0000
Se1 0.0000 0.0000 0.5000
Se2 0.0000 0.5000 0.0000
Se3 0.2500 0.2500 0.2500
Se4 0.2500 0.2500 0.7500
Se5 0.2500 0.7500 0.2500
Se6 0.2500 0.7500 0.7500
Se7 0.5000 0.0000 0.0000
Se8 0.5000 0.5000 0.5000
Se9 0.7500 0.2500 0.2500
Se10 0.7500 0.2500 0.7500
Se11 0.7500 0.7500 0.2500
Se12 0.7500 0.7500 0.7500

Results
Calculated density, Mg/m³: 7.138
Formation energy (no corrections), kJ/mol of formula units: 265



Density functional theory data (meta-GGA SCAN) for Cu3Se at its PBEsol-relaxed geometry.

a = 3.2491 Å, b = 3.2491 Å, c = 5.0041 Å
α = 90.00°, β = 90.00°, γ = 90.00°
Positions (direct):
Cu1 0.0000 0.0000 0.0000
Cu2 0.5000 0.5000 0.2415
Cu3 0.5000 0.5000 0.7585
Se1 0.0000 0.0000 0.5000

Results
Calculated density, Mg/m³: 8.474
Formation energy (no corrections), kJ/mol of formula units: 58



Density functional theory data (meta-GGA SCAN) for Cu2SiSe at its PBEsol-relaxed geometry.

a = 5.1829 Å, b = 6.7667 Å, c = 3.4325 Å
α = 90.00°, β = 103.35°, γ = 90.00°
Positions (direct):
Cu1 0.2500 0.2500 0.0000
Cu2 0.2500 0.7500 0.0000
Cu3 0.7500 0.2500 0.0000
Cu4 0.7500 0.7500 0.0000
Si1 0.0000 0.0000 0.5000
Si2 0.5000 0.5000 0.5000
Se1 0.0000 0.5000 0.5000
Se2 0.5000 0.0000 0.5000

Results
Calculated density, Mg/m³: 6.639
Formation energy (no corrections), kJ/mol of formula units: 135



Density functional theory data (meta-GGA SCAN) for Cu2SiSe at its PBEsol-relaxed geometry.

a = 6.1860 Å, b = 6.1860 Å, c = 6.1860 Å
α = 90.00°, β = 90.00°, γ = 90.00°
Positions (direct):
Cu1 0.0000 0.0000 0.0000
Cu2 0.0000 0.5000 0.5000
Cu3 0.2500 0.2500 0.2500
Cu4 0.2500 0.7500 0.7500
Cu5 0.5000 0.0000 0.5000
Cu6 0.5000 0.5000 0.0000
Cu7 0.7500 0.2500 0.7500
Cu8 0.7500 0.7500 0.2500
Si1 0.0000 0.0000 0.5000
Si2 0.0000 0.5000 0.0000
Si3 0.5000 0.0000 0.0000
Si4 0.5000 0.5000 0.5000
Se1 0.2500 0.2500 0.7500
Se2 0.2500 0.7500 0.2500
Se3 0.7500 0.2500 0.2500
Se4 0.7500 0.7500 0.7500

Results
Calculated density, Mg/m³: 6.570
Formation energy (no corrections), kJ/mol of formula units: 241



Density functional theory data (meta-GGA SCAN) for Cu8SiSe6 at its PBEsol-relaxed geometry.

a = 7.2420 Å, b = 7.0411 Å, c = 10.0386 Å
α = 90.00°, β = 90.00°, γ = 90.00°
Positions (direct):
Cu1 0.0000 0.1243 0.0000
Cu2 0.0000 0.1866 0.4140
Cu3 0.1827 0.0194 0.2171
Cu4 0.2180 0.6269 0.8267
Cu5 0.2470 0.3034 0.5893
Cu6 0.2530 0.6966 0.0893
Cu7 0.2820 0.3731 0.3267
Cu8 0.3173 0.9806 0.7171
Cu9 0.5000 0.8134 0.9140
Cu10 0.5000 0.8757 0.5000
Cu11 0.6827 0.9806 0.7171
Cu12 0.7180 0.3731 0.3267
Cu13 0.7470 0.6966 0.0893
Cu14 0.7530 0.3034 0.5893
Cu15 0.7820 0.6269 0.8267
Cu16 0.8173 0.0194 0.2171
Si1 0.0000 0.7520 0.4764
Si2 0.5000 0.2480 0.9764
Se1 0.0000 0.0080 0.6131
Se2 0.0000 0.3142 0.1987
Se3 0.0000 0.5156 0.6316
Se4 0.0000 0.7918 0.9657
Se5 0.2408 0.2606 0.8532
Se6 0.2592 0.7394 0.3532
Se7 0.5000 0.2082 0.4657
Se8 0.5000 0.4844 0.1316
Se9 0.5000 0.6858 0.6987
Se10 0.5000 0.9920 0.1131
Se11 0.7408 0.7394 0.3532
Se12 0.7592 0.2606 0.8532

Results
Calculated density, Mg/m³: 6.554
Formation energy (no corrections), kJ/mol of formula units: -213



Density functional theory data (meta-GGA SCAN) for CuSi2Se at its PBEsol-relaxed geometry.

a = 3.5403 Å, b = 3.5403 Å, c = 5.0255 Å
α = 90.00°, β = 90.00°, γ = 90.00°
Positions (direct):
Cu1 0.0000 0.0000 0.0000
Si1 0.0000 0.5000 0.5000
Si2 0.5000 0.0000 0.5000
Se1 0.5000 0.5000 0.0000

Results
Calculated density, Mg/m³: 5.238
Formation energy (no corrections), kJ/mol of formula units: 202



Density functional theory data (meta-GGA SCAN) for CuSi2Se at its PBEsol-relaxed geometry.

a = 3.2740 Å, b = 3.2740 Å, c = 6.2933 Å
α = 90.00°, β = 90.00°, γ = 90.00°
Positions (direct):
Cu1 0.0000 0.0000 0.0000
Si1 0.0000 0.0000 0.6118
Si2 0.5000 0.5000 0.7944
Se1 0.5000 0.5000 0.1774

Results
Calculated density, Mg/m³: 4.891
Formation energy (no corrections), kJ/mol of formula units: 143



Density functional theory data (meta-GGA SCAN) for CuSiSe at its PBEsol-relaxed geometry.

a = 6.0749 Å, b = 6.0749 Å, c = 6.0749 Å
α = 90.00°, β = 90.00°, γ = 90.00°
Positions (direct):
Cu1 0.0000 0.0000 0.0000
Cu2 0.0000 0.5000 0.5000
Cu3 0.5000 0.0000 0.5000
Cu4 0.5000 0.5000 0.0000
Si1 0.0000 0.0000 0.5000
Si2 0.0000 0.5000 0.0000
Si3 0.5000 0.0000 0.0000
Si4 0.5000 0.5000 0.5000
Se1 0.2500 0.2500 0.2500
Se2 0.2500 0.7500 0.7500
Se3 0.7500 0.2500 0.7500
Se4 0.7500 0.7500 0.2500

Results
Calculated density, Mg/m³: 5.054
Formation energy (no corrections), kJ/mol of formula units: 202



Density functional theory data (meta-GGA SCAN) for Sm5CuSe8 at its PBEsol-relaxed geometry.

a = 7.4859 Å, b = 7.4859 Å, c = 7.4859 Å
α = 110.36°, β = 110.36°, γ = 107.71°
Positions (direct):
Sm1 0.0000 0.0000 0.0000
Sm2 0.2551 0.1338 0.6247
Sm3 0.3697 0.7449 0.8788
Sm4 0.5091 0.6303 0.3753
Sm5 0.8662 0.4909 0.1212
Cu1 0.7500 0.2500 0.5000
Se1 0.0975 0.3575 0.8715
Se2 0.1435 0.3846 0.3984
Se3 0.2549 0.8565 0.2411
Se4 0.4860 0.2260 0.1285
Se5 0.6154 0.0138 0.7589
Se6 0.6425 0.5140 0.7400
Se7 0.7740 0.9025 0.2600
Se8 0.9862 0.7451 0.6016

Results
Calculated density, Mg/m³: 7.446
Formation energy (no corrections), kJ/mol of formula units: -2486



Density functional theory data (meta-GGA SCAN) for Sm3CuSnSe7 at its PBEsol-relaxed geometry.

a = 10.3782 Å, b = 10.3782 Å, c = 6.1494 Å
α = 90.00°, β = 90.00°, γ = 120.00°
Positions (direct):
Sm1 0.1370 0.7819 0.0000
Sm2 0.2181 0.3551 0.0000
Sm3 0.3551 0.1370 0.5000
Sm4 0.6449 0.8630 0.0000
Sm5 0.7819 0.6449 0.5000
Sm6 0.8630 0.2181 0.5000
Cu1 0.0000 0.0000 0.0435
Cu2 0.0000 0.0000 0.5435
Sn1 0.3333 0.6667 0.4225
Sn2 0.6667 0.3333 0.9225
Se1 0.0796 0.5108 0.2444
Se2 0.1028 0.8427 0.5278
Se3 0.1573 0.2601 0.5278
Se4 0.2601 0.1028 0.0278
Se5 0.3333 0.6667 0.8278
Se6 0.4312 0.9204 0.2444
Se7 0.4892 0.5688 0.2444
Se8 0.5108 0.4312 0.7444
Se9 0.5688 0.0796 0.7444
Se10 0.6667 0.3333 0.3278
Se11 0.7399 0.8972 0.5278
Se12 0.8427 0.7399 0.0278
Se13 0.8972 0.1573 0.0278
Se14 0.9204 0.4892 0.7444

Results
Calculated density, Mg/m³: 6.867
Formation energy (no corrections), kJ/mol of formula units: -1692



Density functional theory data (meta-GGA SCAN) for SmTlCuSe3 at its PBEsol-relaxed geometry.

a = 7.2708 Å, b = 7.2708 Å, c = 10.7724 Å
α = 90.00°, β = 90.00°, γ = 148.47°
Positions (direct):
Sm1 0.0000 0.0000 0.0000
Sm2 0.0000 0.0000 0.5000
Tl1 0.2494 0.7506 0.7500
Tl2 0.7506 0.2494 0.2500
Cu1 0.4690 0.5310 0.2500
Cu2 0.5310 0.4690 0.7500
Se1 0.0722 0.9278 0.2500
Se2 0.3623 0.6377 0.0729
Se3 0.3623 0.6377 0.4271
Se4 0.6377 0.3623 0.5729
Se5 0.6377 0.3623 0.9271
Se6 0.9278 0.0722 0.7500

Results
Calculated density, Mg/m³: 7.306
Formation energy (no corrections), kJ/mol of formula units: -590



Density functional theory data (meta-GGA SCAN) for Cu5Sn2Se7 at its PBEsol-relaxed geometry.

a = 6.8906 Å, b = 6.8906 Å, c = 8.8909 Å
α = 97.35°, β = 97.35°, γ = 48.07°
Positions (direct):
Cu1 0.0000 0.0000 0.0000
Cu2 0.1375 0.1537 0.4258
Cu3 0.2831 0.2893 0.8581
Cu4 0.7107 0.7169 0.1419
Cu5 0.8463 0.8625 0.5742
Sn1 0.4349 0.4162 0.2754
Sn2 0.5838 0.5651 0.7246
Se1 0.0801 0.6231 0.0557
Se2 0.2157 0.7843 0.5000
Se3 0.3769 0.9199 0.9443
Se4 0.5423 0.0083 0.3619
Se5 0.6835 0.1520 0.7928
Se6 0.8480 0.3165 0.2072
Se7 0.9917 0.4577 0.6381

Results
Calculated density, Mg/m³: 5.916
Formation energy (no corrections), kJ/mol of formula units: -401



Q: Which electronic total energy values were calculated for the entries above? A: -18.4456, -18.5515, -17.7467, -18.6712, -17.7748, -15.6835, -18.5358, -18.2486, -18.1724, -16.2684, -14.7729, -14.4990, -16.9526, -13.3043, -13.4573, -14.4004, -30.2718, -28.5446, -33.0575, -20.8959, in eV per atom.